Model A:
# Mg2GeC GGA-PBE optimized geometry
# * DOS(E_F): 5.836 states/eV per cell
# * spin magnetization: 0.000 Bohr magnetons per cell
data_Mg2GeC
_chemical_formula_sum 'Mg8 Ge4 C4'
_cell_length_a 6.295
_cell_length_b 6.295
_cell_length_c 6.295
_cell_angle_alpha 90.00
_cell_angle_beta 90.00
_cell_angle_gamma 90.00
_space_group_name_H-M_alt 'F m -3 m'
_space_group_IT_number 225
_space_group_name_Hall '-F 4 2 3'
loop_
_atom_site_label
_atom_site_type_symbol
_atom_site_fract_x
_atom_site_fract_y
_atom_site_fract_z
Mg1 Mg 0.250 0.250 0.250
Ge1 Ge 0.000 0.000 0.000
C1 C 0.000 0.000 0.500

Model B:
# Mg2GeC GGA-PBE optimized geometry
# * DOS(E_F): 6.343 states/eV per cell
# * spin magnetization: 0.000 Bohr magnetons per cell
data_Mg2GeC
_chemical_formula_sum 'Mg8 Ge4 C4'
_cell_length_a 8.043
_cell_length_b 8.043
_cell_length_c 4.378
_cell_angle_alpha 90.00
_cell_angle_beta 90.00
_cell_angle_gamma 90.00
_space_group_name_H-M_alt 'I -4 2 d'
_space_group_IT_number 122
_space_group_name_Hall 'I -4 2bw'
loop_
_atom_site_label
_atom_site_type_symbol
_atom_site_fract_x
_atom_site_fract_y
_atom_site_fract_z
Mg1 Mg 0.108 0.750 0.125
Ge1 Ge 0.000 0.000 0.500
C1 C 0.000 0.000 0.000

Stability, highest: model B

Model A:
# Mg3GeC GGA-PBE optimized geometry
# * DOS(E_F): 3.540 states/eV per cell
# * spin magnetization: 0.000 Bohr magnetons per cell
data_Mg3GeC
_chemical_formula_sum 'Mg3 Ge1 C1'
_cell_length_a 4.391
_cell_length_b 4.391
_cell_length_c 4.391
_cell_angle_alpha 90.00
_cell_angle_beta 90.00
_cell_angle_gamma 90.00
_space_group_name_H-M_alt 'P m -3 m'
_space_group_IT_number 221
_space_group_name_Hall '-P 4 2 3'
loop_
_atom_site_label
_atom_site_type_symbol
_atom_site_fract_x
_atom_site_fract_y
_atom_site_fract_z
Mg1 Mg 0.000 0.000 0.500
Ge1 Ge 0.500 0.500 0.500
C1 C 0.000 0.000 0.000

Model B:
# Mg3GeC GGA-PBE optimized geometry
# * DOS(E_F): 1.691 states/eV per cell
# * spin magnetization: 2.000 Bohr magnetons per cell
data_Mg3GeC
_chemical_formula_sum 'Mg3 Ge1 C1'
_cell_length_a 4.957
_cell_length_b 4.957
_cell_length_c 4.957
_cell_angle_alpha 90.00
_cell_angle_beta 90.00
_cell_angle_gamma 90.00
_space_group_name_H-M_alt 'P m -3 m'
_space_group_IT_number 221
_space_group_name_Hall '-P 4 2 3'
loop_
_atom_site_label
_atom_site_type_symbol
_atom_site_fract_x
_atom_site_fract_y
_atom_site_fract_z
Mg1 Mg 0.000 0.000 0.500
Ge1 Ge 0.000 0.000 0.000
C1 C 0.500 0.500 0.500

Stability, highest: model A

Model A:
# Mn4GeC GGA-PBE optimized geometry
# * DOS(E_F): 20.014 states/eV per cell
# * spin magnetization: 13.799 Bohr magnetons per cell
data_Mn4GeC
_chemical_formula_sum 'Mn16 Ge4 C4'
_cell_length_a 12.681
_cell_length_b 4.643
_cell_length_c 4.746
_cell_angle_alpha 90.00
_cell_angle_beta 98.03
_cell_angle_gamma 90.00
_space_group_name_H-M_alt 'C 1 2/c 1'
_space_group_IT_number 15
loop_
_space_group_symop_operation_xyz
'x,y,z'
'-x,-y,-z'
'-x,y,-z+1/2'
'x,-y,z+1/2'
'x+1/2,y+1/2,z'
'-x+1/2,-y+1/2,-z'
'-x+1/2,y+1/2,-z+1/2'
'x+1/2,-y+1/2,z+1/2'
loop_
_atom_site_label
_atom_site_type_symbol
_atom_site_fract_x
_atom_site_fract_y
_atom_site_fract_z
Mn1 Mn 0.104 0.155 0.309
Mn2 Mn 0.195 0.374 0.822
Ge1 Ge 0.000 0.327 0.750
C1 C 0.250 0.250 0.500

Model B:
# Mn4GeC GGA-PBE optimized geometry
# * DOS(E_F): 9.179 states/eV per cell
# * spin magnetization: 0.001 Bohr magnetons per cell
data_Mn4GeC
_chemical_formula_sum 'Mn8 Ge2 C2'
_cell_length_a 6.803
_cell_length_b 3.943
_cell_length_c 5.346
_cell_angle_alpha 90.00
_cell_angle_beta 114.68
_cell_angle_gamma 90.00
_space_group_name_H-M_alt 'C 1 2/m 1'
_space_group_IT_number 12
loop_
_space_group_symop_operation_xyz
'x,y,z'
'-x,-y,-z'
'-x,y,-z'
'x,-y,z'
'x+1/2,y+1/2,z'
'-x+1/2,-y+1/2,-z'
'-x+1/2,y+1/2,-z'
'x+1/2,-y+1/2,z'
loop_
_atom_site_label
_atom_site_type_symbol
_atom_site_fract_x
_atom_site_fract_y
_atom_site_fract_z
Mn1 Mn 0.123 0.000 0.368
Mn2 Mn 0.176 0.500 0.029
Ge1 Ge 0.000 0.500 0.500
C1 C 0.000 0.000 0.000

Stability, highest: model A

Model A:
# GeMo2C GGA-PBE optimized geometry
# * DOS(E_F): 11.506 states/eV per cell
# * spin magnetization: 0.000 Bohr magnetons per cell
data_GeMo2C
_chemical_formula_sum 'Ge4 Mo8 C4'
_cell_length_a 5.927
_cell_length_b 5.927
_cell_length_c 5.927
_cell_angle_alpha 90.00
_cell_angle_beta 90.00
_cell_angle_gamma 90.00
_space_group_name_H-M_alt 'F m -3 m'
_space_group_IT_number 225
_space_group_name_Hall '-F 4 2 3'
loop_
_atom_site_label
_atom_site_type_symbol
_atom_site_fract_x
_atom_site_fract_y
_atom_site_fract_z
Ge1 Ge 0.000 0.000 0.000
Mo1 Mo 0.250 0.250 0.250
C1 C 0.000 0.000 0.500

Model B:
# GeMo2C GGA-PBE optimized geometry
# * DOS(E_F): 9.564 states/eV per cell
# * spin magnetization: 0.000 Bohr magnetons per cell
data_GeMo2C
_chemical_formula_sum 'Ge3 Mo6 C3'
_cell_length_a 3.1036
_cell_length_b 3.1036
_cell_length_c 19.6869
_cell_angle_alpha 90.00
_cell_angle_beta 90.00
_cell_angle_gamma 120.00
_space_group_name_H-M_alt 'R -3 m'
_space_group_IT_number 166
_space_group_name_Hall '-R 3 2"'
loop_
_atom_site_label
_atom_site_type_symbol
_atom_site_fract_x
_atom_site_fract_y
_atom_site_fract_z
Ge1 Ge 0.0000 0.0000 0.0000
Mo1 Mo 0.0000 0.0000 0.2242
C1 C 0.0000 0.0000 0.5000

Stability, highest: model B